A plane-wave DFT calculation with PBE was carried out for AlCr2Rh after structural relaxation.

Cell: 2.6344 4.0266 4.8794 Å, 90.00 90.00 90.00°
Atoms (fractional coordinates):
Rh 0.5000 0.5000 0.2500
Cr 0.0000 0.0000 0.9847
Cr 0.0000 0.0000 0.5153
Al 0.5000 0.5000 0.7500

Calculated values
Fermi-level density of states = 3.98 states/eV per cell
crystal system = orthorhombic
volume = 12.9 Å³/atom

---

A plane-wave DFT calculation with PBE was carried out for AlCr2Rh after structural relaxation.

Cell: 2.6563 2.6563 7.3777 Å, 90.00 90.00 90.00°
Site moments in Bohr magnetons follow the coordinates.
Atoms (fractional coordinates):
Rh 0.5000 0.5000 0.2500  0.00
Al 0.5000 0.5000 0.7500  0.00
Cr 0.0000 0.0000 0.0015  0.20
Cr 0.0000 0.0000 0.4985  0.20

Calculated values
Fermi-level density of states = 3.66 states/eV per cell
crystal system = tetragonal
volume = 13.0 Å³/atom

---

A plane-wave DFT calculation with PBE was carried out for Al2CrRh2 after structural relaxation.

Cell: 7.0581 7.0581 2.8064 Å, 90.00 90.00 90.00°
Atoms (fractional coordinates):
Rh 0.8371 0.3371 0.5000
Rh 0.3371 0.1629 0.5000
Rh 0.6629 0.8371 0.5000
Rh 0.1629 0.6629 0.5000
Al 0.3637 0.8637 0.0000
Al 0.6363 0.1363 0.0000
Al 0.8637 0.6363 0.0000
Al 0.1363 0.3637 0.0000
Cr 0.5000 0.5000 0.0000
Cr 0.0000 0.0000 0.0000

Calculated values
Fermi-level density of states = 6.58 states/eV per cell
crystal system = tetragonal
volume = 14.0 Å³/atom

---

A plane-wave DFT calculation with PBE was carried out for AlCr2Rh after structural relaxation.

Cell: 4.2575 4.2575 3.0894 Å, 90.00 90.00 90.00°
Site moments in Bohr magnetons follow the coordinates.
Atoms (fractional coordinates):
Cr 0.0000 0.0000 0.0000  2.52
Cr 0.5000 0.5000 0.0000  2.52
Al 0.0000 0.5000 0.5000  -0.04
Rh 0.5000 0.0000 0.5000  0.62

Calculated values
Fermi-level density of states = 2.47 states/eV per cell
crystal system = tetragonal
volume = 14.0 Å³/atom

---

A plane-wave DFT calculation with PBE was carried out for AlCr4Rh after structural relaxation.

Cell: 4.7574 4.7574 4.7574 Å, 60.00 60.00 60.00°
Atoms (fractional coordinates):
Al 0.0000 0.0000 0.0000
Cr 0.3727 0.3727 0.8819
Cr 0.8819 0.3727 0.3727
Cr 0.3727 0.8819 0.3727
Cr 0.3727 0.3727 0.3727
Rh 0.7500 0.7500 0.7500

Calculated values
Fermi-level density of states = 6.21 states/eV per cell
crystal system = cubic
volume = 12.7 Å³/atom

---

A plane-wave DFT calculation with PBE was carried out for AlCr2Rh after structural relaxation.

Cell: 2.6633 2.6633 8.0425 Å, 90.00 90.00 113.07°
Atoms (fractional coordinates):
Rh 0.0000 0.0000 0.5000
Cr 0.5000 0.5000 0.2339
Cr 0.0000 0.0000 0.0142
Al 0.5000 0.5000 0.7519

Calculated values
Fermi-level density of states = 3.57 states/eV per cell
crystal system = orthorhombic
volume = 13.1 Å³/atom

---

A plane-wave DFT calculation with PBE was carried out for AlCr2Rh after structural relaxation.

Cell: 8.6693 8.6693 8.6693 Å, 17.72 17.72 17.72°
Atoms (fractional coordinates):
Rh 0.2500 0.2500 0.2500
Cr 0.5015 0.5015 0.5015
Cr 0.9985 0.9985 0.9985
Al 0.7500 0.7500 0.7500

Calculated values
Fermi-level density of states = 4.16 states/eV per cell
crystal system = trigonal
volume = 13.2 Å³/atom

---

A plane-wave DFT calculation with PBE was carried out for AlCr2Rh after structural relaxation.

Cell: 8.0493 8.0493 8.0493 Å, 20.09 20.09 20.09°
Atoms (fractional coordinates):
Al 0.7501 0.7501 0.7501
Cr 0.2572 0.2572 0.2572
Cr 0.9907 0.9907 0.9907
Rh 0.5020 0.5020 0.5020

Calculated values
Fermi-level density of states = 3.29 states/eV per cell
crystal system = trigonal
volume = 13.5 Å³/atom

---

Formation energy from the elements (computed, eV/atom): -0.135 -0.037 -0.403 -0.001 -0.006 -0.061 0.068 -0.030